# Zr2CdPd3

Crystalline Zr2CdPd3 at its relaxed geometry (PBE, the Open Quantum Materials Database).

a = 3.522 Å, b = 3.522 Å, c = 8.908 Å
α = 90.00°, β = 90.00°, γ = 90.00°
Fractional coordinates of all 6 atoms:
Pd: 0.500 0.500 0.338
Pd: 0.000 0.000 0.837
Pd: 0.500 0.500 0.661
Zr: 0.500 0.500 0.977
Zr: 0.000 0.000 0.512
Cd: 0.000 0.000 0.175

Properties
DFT formation energy ... -635 meV per atom
Crystal system ... tetragonal
Electronic total energy ... -6.221 eV/atom
Space-group type ... P4mm, No. 99
Total magnetic moment ... 0.015 μB/cell

=====

# SbMo4C2S

Crystalline SbMo4C2S at its relaxed geometry (PBE, the Open Quantum Materials Database).

a = 3.240 Å, b = 3.240 Å, c = 12.388 Å
α = 90.00°, β = 90.00°, γ = 120.00°
Fractional coordinates of all 8 atoms:
C: 0.333 0.667 0.763
C: 0.333 0.667 0.237
Mo: 0.667 0.333 0.146
Mo: 0.000 0.000 0.683
Mo: 0.667 0.333 0.854
Mo: 0.000 0.000 0.317
S: 0.000 0.000 0.000
Sb: 0.667 0.333 0.500

Properties
Crystal system ... hexagonal
Electronic total energy ... -8.765 eV/atom
Space-group type ... P-6m2, No. 187
Total magnetic moment ... 0.001 μB/cell

=====

# KReAuSe3

Crystalline KReAuSe3 at its relaxed geometry (PBE, the Open Quantum Materials Database).

a = 8.502 Å, b = 8.502 Å, c = 10.140 Å
α = 90.00°, β = 90.00°, γ = 154.13°
Fractional coordinates of all 12 atoms:
Re: 0.500 0.500 0.500
Re: 0.500 0.500 0.000
Se: 0.106 0.894 0.011
Se: 0.457 0.543 0.250
Se: 0.894 0.106 0.511
Se: 0.106 0.894 0.489
Se: 0.894 0.106 0.989
Se: 0.543 0.457 0.750
K: 0.778 0.222 0.250
K: 0.222 0.778 0.750
Au: 0.115 0.885 0.250
Au: 0.885 0.115 0.750

Properties
Crystal system ... orthorhombic
Electronic total energy ... -4.703 eV/atom
Space-group type ... Cmcm, No. 63
Total magnetic moment ... 5.023 μB/cell

=====

# SmIO

Crystalline SmIO at its relaxed geometry (PBE, the Open Quantum Materials Database).

a = 4.019 Å, b = 4.019 Å, c = 9.213 Å
α = 90.00°, β = 90.00°, γ = 90.00°
Fractional coordinates of all 6 atoms:
I: 0.500 0.000 0.671
I: 0.000 0.500 0.329
Sm: 0.500 0.000 0.124
Sm: 0.000 0.500 0.876
O: 0.000 0.000 0.000
O: 0.500 0.500 0.000

Properties
Crystal system ... tetragonal
Electronic total energy ... -6.429 eV/atom
Space-group type ... P4/nmm, No. 129
Total magnetic moment ... 0.007 μB/cell